1.
Computed, not measured: a relaxed ZrRu2C crystal at the PBE level of DFT.

a b c (Å): 6.7924 6.7924 5.4222
angles (deg): 51.22 51.22 90.00
With the nearest neighbours (Å) after each atom.
Fractional positions:
Ru 0.5051 0.1250 0.2500  2 C 2.02
Ru 0.8750 0.7551 0.7500  2 C 2.02
C 0.5000 0.5000 0.0000  4 Ru 2.02
Zr 0.0000 0.0000 0.0000  2 C 2.52, 4 Ru 2.69
Ru 0.3750 0.4949 0.7500  2 C 2.02
Zr 0.7500 0.2500 0.5000  2 C 2.52, 4 Ru 2.69
C 0.2500 0.7500 0.5000  4 Ru 2.02
Ru 0.2449 0.6250 0.2500  2 C 2.02

Calculated values
The symmetry is I-42d (122). The energy of formation is -103 meV/atom.

***

2.
Computed, not measured: a relaxed Ca2CrRe crystal at the PBE level of DFT.

a b c (Å): 5.5439 5.5439 5.5439
angles (deg): 134.11 134.05 66.97
With the nearest neighbours (Å) after each atom.
Fractional positions:
Ca 0.4996 0.4996 0.0000  4 Ca 3.06, 4 Re 3.16-3.17, 4 Cr 3.16-3.17
Ca 0.0004 0.0004 0.0000  4 Ca 3.06, 4 Re 3.16-3.17, 4 Cr 3.16-3.17
Re 0.2500 0.7500 0.5000  4 Cr 3.06, 8 Ca 3.16-3.17
Cr 0.7500 0.2500 0.5000  4 Re 3.06, 8 Ca 3.16-3.17

Calculated values
The symmetry is I4/mmm (139). The energy of formation is 938 meV/atom.

***

3.
Computed, not measured: a relaxed TiPb3F crystal at the PBE level of DFT.

a b c (Å): 4.9976 4.9976 4.9976
angles (deg): 90.00 90.00 90.00
With the nearest neighbours (Å) after each atom.
Fractional positions:
F 0.0000 0.0000 0.0000  6 Pb 2.50
Pb 0.0000 0.5000 0.0000  2 F 2.50
Pb 0.0000 0.0000 0.5000  2 F 2.50
Ti 0.5000 0.5000 0.5000  12 Pb 3.53
Pb 0.5000 0.0000 0.0000  2 F 2.50

Calculated values
The symmetry is Pm-3m (221). For the total DFT energy (no corrections), the calculation gives -21.76 eV/f.u.

***

4.
Computed, not measured: a relaxed ZnTcSO2 crystal at the PBE level of DFT.

a b c (Å): 3.6905 6.0137 3.6905
angles (deg): 90.00 90.00 90.00
With the nearest neighbours (Å) after each atom.
Fractional positions:
S 0.5000 0.5000 0.5000  4 Zn 2.61
Zn 0.0000 0.5000 0.0000  4 S 2.61
O 0.0000 0.0000 0.5000  2 Tc 1.85
Tc 0.0000 0.0000 0.0000  4 O 1.85
O 0.5000 0.0000 0.0000  2 Tc 1.85

Calculated values
The symmetry is P4/mmm (123). For the total DFT energy (no corrections), the calculation gives -28.67 eV/f.u.

***

5.
Computed, not measured: a relaxed Zr6Co2Os crystal at the PBE level of DFT.

a b c (Å): 7.6475 7.6475 7.6475
angles (deg): 69.33 69.67 107.43
With the nearest neighbours (Å) after each atom.
Fractional positions:
Zr 0.1821 0.2848 0.5330  3 Co 2.73-2.87, 1 Os 2.94
Zr 0.6719 0.9701 0.7018  3 Co 2.49-2.69
Co 0.6512 0.0000 0.3488  8 Zr 2.60-2.87, 1 Co 2.64
Zr 0.3281 0.0299 0.2982  3 Co 2.49-2.69
Os 0.5000 0.5000 0.0000  8 Zr 2.86-3.03
Zr 0.6719 0.3736 0.2982  3 Co 2.49-2.69
Zr 0.3281 0.6264 0.7018  3 Co 2.49-2.69
Zr 0.8179 0.2848 0.8973  3 Co 2.73-2.87, 1 Os 2.94
Co 0.8677 0.3677 0.5000  1 Co 2.40, 2 Zr 2.49
Zr 0.0524 0.2423 0.1899  1 Co 2.60, 2 Os 2.75-2.86
Zr 0.5677 0.7577 0.1899  1 Co 2.60, 2 Os 2.75-2.86
Co 0.3488 0.0000 0.6512  8 Zr 2.60-2.87, 1 Co 2.64
Zr 0.8179 0.7152 0.4670  3 Co 2.73-2.87, 1 Os 2.94
Os 0.0000 0.0000 0.0000  8 Zr 2.75-2.94, 2 Co 3.05
Co 0.1323 0.6323 0.5000  1 Co 2.40, 2 Zr 2.49
Zr 0.9476 0.7577 0.8101  1 Co 2.60, 2 Os 2.75-2.86
Zr 0.4323 0.2423 0.8101  1 Co 2.60, 2 Os 2.75-2.86
Zr 0.1821 0.7152 0.1027  3 Co 2.73-2.87, 1 Os 2.94

Calculated values
The symmetry is Immm (71). The energy of formation is -284 meV/atom.

***

6.
Computed, not measured: a relaxed Zr2VH crystal at the PBE level of DFT.

a b c (Å): 2.9841 2.9841 8.3633
angles (deg): 79.72 79.72 60.00
With the nearest neighbours (Å) after each atom.
Fractional positions:
V 0.0000 0.0000 0.0000  2 Zr 2.65
Zr 0.1079 0.1079 0.6763  3 H 2.25
H 0.5000 0.5000 0.5000  6 Zr 2.25
Zr 0.8921 0.8921 0.3237  3 H 2.25

Calculated values
The symmetry is R-3m (166). For the total DFT energy (no corrections), the calculation gives -28.48 eV/f.u.

***

7.
Computed, not measured: a relaxed LiHoBi2 crystal at the PBE level of DFT.

a b c (Å): 5.3775 5.3775 5.3775
angles (deg): 60.00 60.00 60.00
With the nearest neighbours (Å) after each atom.
Fractional positions:
Bi 0.7500 0.7500 0.7500  4 Ho 3.29, 4 Li 3.29
Ho 0.5000 0.5000 0.5000  8 Bi 3.29
Li 0.0000 0.0000 0.0000  8 Bi 3.29
Bi 0.2500 0.2500 0.2500  4 Li 3.29, 4 Ho 3.29

Calculated values
The symmetry is Fm-3m (225). The energy of formation is -427 meV/atom.

***

8.
Computed, not measured: a relaxed Ca3PPt crystal at the PBE level of DFT.

a b c (Å): 5.3241 5.3241 5.3241
angles (deg): 90.00 90.00 90.00
With the nearest neighbours (Å) after each atom.
Fractional positions:
Ca 0.0000 0.5000 0.0000  2 P 2.66
Ca 0.5000 0.0000 0.0000  2 P 2.66
Ca 0.0000 0.0000 0.5000  2 P 2.66
Pt 0.5000 0.5000 0.5000  12 Ca 3.76
P 0.0000 0.0000 0.0000  6 Ca 2.66

Calculated values
The symmetry is Pm-3m (221). The energy of formation is -515 meV/atom.

***

9.
Computed, not measured: a relaxed Co4CuNi8 crystal at the PBE level of DFT.

a b c (Å): 3.5261 4.3113 11.4128
angles (deg): 64.14 81.11 65.86
With the nearest neighbours (Å) after each atom.
Fractional positions:
Ni 0.0552 0.5376 0.3520  6 Co 2.47-2.50, 6 Ni 2.48-2.51
Ni 0.8236 0.3081 0.0447  4 Co 2.49-2.53, 3 Cu 2.49-2.50, 5 Ni 2.50-2.51
Ni 0.5931 0.0791 0.7347  4 Co 2.47-2.50, 7 Ni 2.49-2.50, 1 Cu 2.51
Ni 0.4384 0.9244 0.1989  4 Co 2.47-2.50, 7 Ni 2.49-2.50, 1 Cu 2.51
Co 0.1338 0.6087 0.1238  10 Ni 2.47-2.52, 2 Cu 2.52
Co 0.6699 0.1560 0.5041  9 Ni 2.47-2.50, 3 Co 2.48-2.49
Ni 0.2857 0.7704 0.6583  5 Co 2.47-2.50, 7 Ni 2.48-2.51
Ni 0.2078 0.6953 0.8891  4 Co 2.49-2.52, 3 Cu 2.49-2.50, 5 Ni 2.50-2.51
Co 0.3616 0.8473 0.4296  9 Ni 2.47-2.50, 3 Co 2.48-2.49
Ni 0.7457 0.2330 0.2755  5 Co 2.47-2.50, 7 Ni 2.48-2.51
Cu 0.5157 0.0019 0.9668  8 Ni 2.49-2.51, 4 Co 2.52
Co 0.8977 0.3948 0.8099  10 Ni 2.47-2.53, 2 Cu 2.52
Ni 0.9762 0.4658 0.5818  6 Co 2.47-2.50, 6 Ni 2.48-2.51

Calculated values
The symmetry is C2/m (12). The energy of formation is 18 meV/atom.

***

10.
Computed, not measured: a relaxed SrTa2Ag crystal at the PBE level of DFT.

a b c (Å): 10.0684 10.0684 10.0684
angles (deg): 18.77 18.77 18.77
With the nearest neighbours (Å) after each atom.
Fractional positions:
Ta 0.9858 0.9858 0.9858  3 Ta 2.74
Sr 0.7513 0.7513 0.7513  6 Sr 3.28, 3 Ag 3.33, 3 Ta 3.49
Ta 0.2525 0.2525 0.2525  3 Ta 2.74, 3 Ag 2.93
Ag 0.5104 0.5104 0.5104  3 Ta 2.93, 6 Ag 3.28

Calculated values
The symmetry is R3m (160). The energy of formation is 638 meV/atom.

***

11.
Computed, not measured: a relaxed Si2PAu crystal at the PBE level of DFT.

a b c (Å): 2.8476 2.8476 8.7366
angles (deg): 90.00 90.00 115.27
With the nearest neighbours (Å) after each atom.
Fractional positions:
P 0.5000 0.5000 0.7500  4 Si 2.48
Au 0.5000 0.5000 0.2500  6 Au 2.85-3.05, 4 Si 2.85
Si 0.0000 0.0000 0.5255  2 P 2.48
Si 0.0000 0.0000 0.9745  2 P 2.48

Calculated values
The symmetry is Cmmm (65). For the total DFT energy (no corrections), the calculation gives -17.56 eV/f.u.

***

12.
Computed, not measured: a relaxed LiYNi2 crystal at the PBE level of DFT.

a b c (Å): 4.0858 4.0858 5.1419
angles (deg): 66.46 66.46 60.12
With the nearest neighbours (Å) after each atom.
Fractional positions:
Y 0.7500 0.7500 0.7500  8 Ni 2.77-2.96
Ni 0.5475 0.5475 0.3580  3 Li 2.41, 3 Ni 2.55-2.56
Li 0.2500 0.2500 0.2500  6 Ni 2.41
Ni 0.9525 0.9525 0.1420  3 Li 2.41, 3 Ni 2.55-2.56

Calculated values
The symmetry is C2/m (12). The energy of formation is -163 meV/atom.

***

13.
Computed, not measured: a relaxed Cs2InHg crystal at the PBE level of DFT.

a b c (Å): 5.2908 5.2921 10.1154
angles (deg): 74.81 74.84 60.01
With the nearest neighbours (Å) after each atom.
Fractional positions:
Cs 0.7150 0.4784 0.0915  3 Hg 3.96-3.97, 3 In 3.96-3.97
In 0.1360 0.8987 0.8294  3 Hg 3.05-3.06
Hg 0.4694 0.2319 0.8293  3 In 3.05-3.06
Cs 0.8899 0.6530 0.5672  3 Hg 3.96-3.97, 3 In 3.96-3.97

Calculated values
The symmetry is R3m (160). The energy of formation is -140 meV/atom.

***

14.
Computed, not measured: a relaxed VCr3P crystal at the PBE level of DFT.

a b c (Å): 4.2852 4.2852 4.2852
angles (deg): 90.00 90.00 90.00
With the nearest neighbours (Å) after each atom.
Fractional positions:
V 0.0000 0.0000 0.0000  6 Cr 2.14
P 0.5000 0.5000 0.5000  12 Cr 3.03
Cr 0.5000 0.0000 0.0000  2 V 2.14
Cr 0.0000 0.0000 0.5000  2 V 2.14
Cr 0.0000 0.5000 0.0000  2 V 2.14

Calculated values
The symmetry is Pm-3m (221). The energy of formation is 1368 meV/atom.

***

15.
Computed, not measured: a relaxed AsRuSe crystal at the PBE level of DFT.

a b c (Å): 4.3011 4.3011 4.3011
angles (deg): 60.00 60.00 60.00
With the nearest neighbours (Å) after each atom.
Fractional positions:
Ru 0.0000 0.0000 0.0000  4 As 2.63
Se 0.5000 0.5000 0.5000  4 As 2.63
As 0.2500 0.2500 0.2500  4 Se 2.63, 4 Ru 2.63

Calculated values
The symmetry is F-43m (216). For the total DFT energy (no corrections), the calculation gives -15.57 eV/f.u.

***

16.
Computed, not measured: a relaxed Ba3Li7Au4 crystal at the PBE level of DFT.

a b c (Å): 4.5907 9.0858 9.2461
angles (deg): 72.32 75.63 75.37
With the nearest neighbours (Å) after each atom.
Fractional positions:
Li 0.1612 0.6000 0.0776  3 Au 2.75-2.83
Au 0.8930 0.8933 0.3208  6 Li 2.78-2.95
Au 0.3390 0.5393 0.7827  4 Li 2.71-2.83
Au 0.1070 0.1067 0.6792  6 Li 2.78-2.95
Li 0.6847 0.1372 0.4934  3 Au 2.81-2.95, 1 Li 2.93
Li 0.5076 0.7697 0.2151  3 Au 2.71-2.81, 1 Li 2.93
Ba 0.6956 0.8133 0.7954  4 Au 3.35-3.41, 10 Li 3.39-3.68
Li 0.4924 0.2303 0.7849  3 Au 2.71-2.81, 1 Li 2.93
Li 0.8388 0.4000 0.9224  3 Au 2.75-2.83
Li 0.0000 0.0000 0.0000  2 Au 2.78
Au 0.6610 0.4607 0.2173  4 Li 2.71-2.83
Ba 0.0000 0.5000 0.5000  6 Au 3.42-3.50, 6 Li 3.66-3.78
Li 0.3153 0.8628 0.5066  3 Au 2.81-2.95, 1 Li 2.93
Ba 0.3044 0.1867 0.2046  4 Au 3.35-3.41, 10 Li 3.39-3.68

Calculated values
The symmetry is C2/m (12). The energy of formation is -435 meV/atom.

***

17.
Computed, not measured: a relaxed TlTc2AgOs crystal at the PBE level of DFT.

a b c (Å): 4.8685 4.8813 4.8685
angles (deg): 90.00 90.00 90.00
With the nearest neighbours (Å) after each atom.
Fractional positions:
Tc 0.0000 0.0000 0.5000  2 Ag 2.43
Ag 0.0000 0.0000 0.0000  4 Tc 2.43, 2 Tl 2.44
Tl 0.0000 0.5000 0.0000  2 Ag 2.44
Os 0.5000 0.5000 0.5000  4 Tl 3.44, 8 Tc 3.45
Tc 0.5000 0.0000 0.0000  2 Ag 2.43

Calculated values
The symmetry is P4/mmm (123). The energy of formation is 2655 meV/atom.

***

18.
Computed, not measured: a relaxed NaReC2S crystal at the PBE level of DFT.

a b c (Å): 3.9488 4.5029 3.9488
angles (deg): 90.00 90.00 90.00
With the nearest neighbours (Å) after each atom.
Fractional positions:
S 0.0000 0.0000 0.0000  4 C 1.97
Re 0.5000 0.5000 0.5000  4 Na 2.79, 8 C 2.99
C 0.0000 0.0000 0.5000  2 S 1.97
Na 0.0000 0.5000 0.0000  2 S 2.25
C 0.5000 0.0000 0.0000  2 S 1.97

Calculated values
The symmetry is P4/mmm (123). For the total DFT energy (no corrections), the calculation gives -21.98 eV/f.u.

***

19.
Computed, not measured: a relaxed LiCu3Si crystal at the PBE level of DFT.

a b c (Å): 4.1261 4.1050 7.3445
angles (deg): 89.99 73.38 89.95
With the nearest neighbours (Å) after each atom.
Fractional positions:
Cu 0.4553 0.8445 0.8078  4 Li 2.48-2.49, 4 Si 2.51-2.53, 1 Cu 2.76
Cu 0.9562 0.3443 0.8066  4 Li 2.48-2.49, 4 Si 2.51-2.53, 1 Cu 2.76
Li 0.8558 0.8443 0.0058  8 Cu 2.46-2.50
Si 0.3535 0.3446 0.0135  8 Cu 2.44-2.53
Si 0.0574 0.8446 0.6010  8 Cu 2.44-2.53
Li 0.5551 0.3444 0.6088  8 Cu 2.46-2.50
Cu 0.6507 0.8440 0.4156  2 Si 2.44, 2 Li 2.46, 4 Cu 2.54-2.56
Cu 0.7603 0.3442 0.1990  2 Si 2.44-2.45, 2 Li 2.46, 4 Cu 2.54-2.56
Cu 0.1547 0.3446 0.4099  2 Si 2.45, 2 Li 2.49-2.50, 4 Cu 2.51-2.55
Cu 0.2565 0.8444 0.2047  2 Si 2.45, 2 Li 2.49-2.50, 4 Cu 2.51-2.55

Calculated values
The symmetry is P2_1/m (11). For the total DFT energy (no corrections), the calculation gives -20.46 eV/f.u.

***

20.
Computed, not measured: a relaxed Li5Ho3Br12 crystal at the PBE level of DFT.

a b c (Å): 13.9223 13.9223 13.9223
angles (deg): 109.47 109.47 109.47
With the nearest neighbours (Å) after each atom.
Fractional positions:
Ho 0.8750 0.7500 0.1250  8 Br 3.05-3.07
Ho 0.8750 0.1250 0.2500  8 Br 3.05-3.07
Ho 0.1250 0.2500 0.8750  8 Br 3.05-3.07
Br 0.2827 0.4093 0.8204  2 Li 2.45-2.70
Li 0.0000 0.0000 0.5000  6 Br 2.70
Br 0.5907 0.8734 0.4111  2 Li 2.45-2.70
Br 0.2173 0.5377 0.6266  2 Li 2.45-2.70
Br 0.9111 0.0907 0.8734  2 Li 2.45-2.70
Li 0.6250 0.7500 0.8750  4 Br 2.45
Ho 0.3750 0.6250 0.2500  8 Br 3.05-3.07
Br 0.9111 0.8204 0.5377  2 Li 2.45-2.70
Br 0.6796 0.2173 0.5907  2 Li 2.45-2.70
Br 0.4111 0.0377 0.3204  2 Li 2.45-2.70
Br 0.0377 0.6266 0.7173  2 Li 2.45-2.70
Ho 0.2500 0.6250 0.8750  8 Br 3.05-3.07
Li 0.5000 0.5000 0.5000  6 Br 2.70
Br 0.9093 0.8204 0.7827  2 Li 2.45-2.70
Br 0.9623 0.5889 0.1796  2 Li 2.45-2.70
Br 0.2173 0.6796 0.0907  2 Li 2.45-2.70
Br 0.1266 0.4093 0.0889  2 Li 2.45-2.70
Ho 0.6250 0.3750 0.7500  8 Br 3.05-3.07
Br 0.3734 0.9623 0.7827  2 Li 2.45-2.70
Ho 0.1250 0.8750 0.7500  8 Br 3.05-3.07
Li 0.2500 0.3750 0.6250  4 Br 2.45
Br 0.8734 0.5907 0.9111  2 Li 2.45-2.70
Br 0.5889 0.9623 0.6796  2 Li 2.45-2.70
Br 0.8204 0.9093 0.2827  2 Li 2.45-2.70
Br 0.0377 0.4111 0.8204  2 Li 2.45-2.70
Br 0.5907 0.7173 0.6796  2 Li 2.45-2.70
Br 0.4623 0.6796 0.0889  2 Li 2.45-2.70
Li 0.5000 0.0000 0.0000  6 Br 2.70
Br 0.7827 0.4623 0.3734  2 Li 2.45-2.70
Br 0.9623 0.3734 0.2827  2 Li 2.45-2.70
Br 0.4093 0.2827 0.3204  2 Li 2.45-2.70
Br 0.1266 0.7173 0.5377  2 Li 2.45-2.70
Br 0.6266 0.5889 0.9093  2 Li 2.45-2.70
Br 0.1796 0.0889 0.9623  2 Li 2.45-2.70
Li 0.0000 0.0000 0.0000  6 Br 2.70
Ho 0.3750 0.7500 0.6250  8 Br 3.05-3.07
Br 0.7173 0.5907 0.1796  2 Li 2.45-2.70
Br 0.3204 0.7827 0.4093  2 Li 2.45-2.70
Li 0.0000 0.5000 0.5000  6 Br 2.70
Br 0.5377 0.2173 0.1266  2 Li 2.45-2.70
Li 0.0000 0.5000 0.0000  6 Br 2.70
Li 0.7500 0.6250 0.3750  4 Br 2.45
Li 0.5000 0.5000 0.0000  6 Br 2.70
Br 0.0907 0.1796 0.2173  2 Li 2.45-2.70
Br 0.5377 0.3204 0.9111  2 Li 2.45-2.70
Li 0.1250 0.3750 0.2500  4 Br 2.45
Li 0.5000 0.0000 0.5000  6 Br 2.70
Br 0.8204 0.9111 0.0377  2 Li 2.45-2.70
Li 0.6250 0.8750 0.2500  4 Br 2.45
Li 0.7500 0.1250 0.8750  4 Br 2.45
Li 0.2500 0.8750 0.1250  4 Br 2.45
Br 0.3204 0.5377 0.4111  2 Li 2.45-2.70
Br 0.0889 0.9093 0.1266  2 Li 2.45-2.70
Br 0.7173 0.1266 0.0377  2 Li 2.45-2.70
Li 0.3750 0.2500 0.1250  4 Br 2.45
Br 0.2827 0.8734 0.9623  2 Li 2.45-2.70
Br 0.1796 0.0907 0.7173  2 Li 2.45-2.70
Ho 0.7500 0.8750 0.6250  8 Br 3.05-3.07
Br 0.3734 0.4111 0.0907  2 Li 2.45-2.70
Br 0.6266 0.0377 0.2173  2 Li 2.45-2.70
Br 0.9093 0.0889 0.6266  2 Li 2.45-2.70
Ho 0.2500 0.1250 0.3750  8 Br 3.05-3.07
Br 0.4623 0.7827 0.8734  2 Li 2.45-2.70
Br 0.4111 0.3734 0.5907  2 Li 2.45-2.70
Li 0.8750 0.2500 0.6250  4 Br 2.45
Br 0.6796 0.4623 0.5889  2 Li 2.45-2.70
Li 0.3750 0.1250 0.7500  4 Br 2.45
Br 0.5889 0.6266 0.4093  2 Li 2.45-2.70
Li 0.1250 0.7500 0.3750  4 Br 2.45
Br 0.0889 0.1796 0.4623  2 Li 2.45-2.70
Ho 0.6250 0.2500 0.3750  8 Br 3.05-3.07
Br 0.4093 0.1266 0.5889  2 Li 2.45-2.70
Ho 0.7500 0.3750 0.1250  8 Br 3.05-3.07
Br 0.7827 0.3204 0.9093  2 Li 2.45-2.70
Br 0.8734 0.2827 0.4623  2 Li 2.45-2.70
Br 0.0907 0.9111 0.3734  2 Li 2.45-2.70
Li 0.8750 0.6250 0.7500  4 Br 2.45

Calculated values
The symmetry is Ia-3d (230). For the total DFT energy (no corrections), the calculation gives -72.95 eV/f.u.